This record from Alexandria describes a relaxed Cs3Zn2PbF9 crystal. The functional is PBE.

abc: 6.3071 6.3071 7.7913
angles: 90.00 90.00 120.00
Atoms (fractional coordinates):
Cs (0.0000, 0.0000, 0.0000)
Cs (0.3333, 0.6667, 0.6759)
Cs (0.6667, 0.3333, 0.3241)
Zn (0.3333, 0.6667, 0.1520)
Zn (0.6667, 0.3333, 0.8480)
Pb (0.0000, 0.0000, 0.5000)
F (0.0000, 0.5000, 0.0000)
F (0.1804, 0.3608, 0.3104)
F (0.1804, 0.8196, 0.3104)
F (0.3608, 0.1804, 0.6896)
F (0.5000, 0.0000, 0.0000)
F (0.5000, 0.5000, 0.0000)
F (0.6392, 0.8196, 0.3104)
F (0.8196, 0.1804, 0.6896)
F (0.8196, 0.6392, 0.6896)

Summary:
* crystal system: trigonal
* magnetization: 0.00 μB per formula unit
* SG: No. 164
* uncorrected formation energy: -37.7 eV/f.u.

---

This record from Alexandria describes a relaxed RuRhSe crystal. The functional is PBE.

abc: 12.5206 2.9748 2.9748
angles: 60.00 90.00 90.00
Atoms (fractional coordinates):
Ru (0.1708, 0.0000, 0.0000)
Ru (0.8292, 0.0000, 0.0000)
Rh (0.0000, 0.3336, 0.3336)
Rh (0.5000, 0.3345, 0.3345)
Se (0.3102, 0.3334, 0.3334)
Se (0.6898, 0.3334, 0.3334)

Summary:
* relative energy among the computed polymorphs: 143 meV per atom
* crystal system: orthorhombic
* magnetization: 0.00 μB per formula unit
* SG: No. 38
* uncorrected formation energy: 0.6 eV/f.u.

---

This record from Alexandria describes a relaxed InCo2Ge crystal. The functional is PBE.

abc: 4.2854 4.2854 4.2854
angles: 60.00 60.00 60.00
Atoms (fractional coordinates):
In (0.0000, 0.0000, 0.0000)
Co (0.2500, 0.2500, 0.2500)
Co (0.7500, 0.7500, 0.7500)
Ge (0.5000, 0.5000, 0.5000)

Summary:
* crystal system: cubic
* magnetization: 1.28 μB per formula unit
* SG: No. 225
* DFT formation energy: 10 kJ/mol of atoms

---

This record from Alexandria describes a relaxed RbSb3Se crystal. The functional is PBE.

abc: 6.1083 6.1083 6.1083
angles: 90.00 90.00 90.00
Atoms (fractional coordinates):
Rb (0.0000, 0.0000, 0.0000)
Sb (0.0000, 0.0000, 0.5000)
Sb (0.0000, 0.5000, 0.0000)
Sb (0.5000, 0.0000, 0.0000)
Se (0.5000, 0.5000, 0.5000)

Summary:
* relative energy among the computed polymorphs: 1388 meV per atom
* crystal system: cubic
* magnetization: 2.34 μB per formula unit
* SG: No. 221
* uncorrected formation energy: 8.3 eV/f.u.

---

This record from Alexandria describes a relaxed Tb4TmSc5 crystal. The functional is PBE.

abc: 7.8123 7.8123 9.6853
angles: 126.66 126.66 40.02
Atoms (fractional coordinates):
Tb (0.2466, 0.2466, 0.1330)
Tb (0.2517, 0.2517, 0.6265)
Tb (0.7483, 0.7483, 0.3735)
Tb (0.7534, 0.7534, 0.8670)
Tm (0.5000, 0.5000, 0.5000)
Sc (0.0000, 0.0000, 0.0000)
Sc (0.0522, 0.0522, 0.7123)
Sc (0.4466, 0.4466, 0.0986)
Sc (0.5534, 0.5534, 0.9014)
Sc (0.9478, 0.9478, 0.2877)

Summary:
* relative energy among the computed polymorphs: 9 meV per atom
* crystal system: monoclinic
* magnetization: 0.00 μB per formula unit
* SG: No. 12
* DFT formation energy: 24 kJ/mol of atoms

---

This record from Alexandria describes a relaxed RbZnH2 crystal. The functional is PBE.

abc: 6.4710 6.4710 6.4710
angles: 132.82 132.82 68.93
Atoms (fractional coordinates):
Rb (0.3750, 0.6250, 0.7500)
Rb (0.6250, 0.3750, 0.2500)
Zn (0.1250, 0.8750, 0.2500)
Zn (0.8750, 0.1250, 0.7500)
H (0.0000, 0.0000, 0.0000)
H (0.0000, 0.0000, 0.5000)
H (0.0000, 0.5000, 0.0000)
H (0.5000, 0.0000, 0.5000)

Summary:
* relative energy among the computed polymorphs: 0 meV per atom
* crystal system: tetragonal
* magnetization: 0.00 μB per formula unit
* SG: No. 141

---

This record from Alexandria describes a relaxed K2NpU2S6 crystal. The functional is PBE.

abc: 6.9686 6.9686 7.8791
angles: 98.39 98.39 120.04
Atoms (fractional coordinates):
K (0.1665, 0.8335, 0.0000)
K (0.8335, 0.1665, 0.0000)
Np (0.0000, 0.0000, 0.5000)
U (0.3346, 0.6654, 0.5000)
U (0.6654, 0.3346, 0.5000)
S (0.0619, 0.4010, 0.6946)
S (0.2695, 0.2695, 0.3038)
S (0.4010, 0.0619, 0.6946)
S (0.5990, 0.9381, 0.3054)
S (0.7305, 0.7305, 0.6962)
S (0.9381, 0.5990, 0.3054)

Summary:
* crystal system: monoclinic
* magnetization: 9.00 μB per formula unit
* SG: No. 12
* uncorrected formation energy: -15.7 eV/f.u.

---

This record from Alexandria describes a relaxed PmHoMgRu crystal. The functional is PBE.

abc: 5.0738 5.0738 5.0738
angles: 60.00 60.00 60.00
Atoms (fractional coordinates):
Pm (0.0000, 0.0000, 0.0000)
Ho (0.5000, 0.5000, 0.5000)
Mg (0.7500, 0.7500, 0.7500)
Ru (0.2500, 0.2500, 0.2500)

Summary:
* relative energy among the computed polymorphs: 89 meV per atom
* crystal system: cubic
* magnetization: 0.00 μB per formula unit
* SG: No. 216
* DFT formation energy: -14 kJ/mol of atoms

---

Question: What is the formula in the fifth record?
Answer: Tb4TmSc5

---

Question: What is the magnetization in the seventh record?
Answer: 9.00 μB per formula unit